# 1
VASP calculation (GGA-PBE) on an optimized crystal structure of Ac3CdCu2Pd9.

As for the crystal system: trigonal. The calculated total energy is -4.86 eV per atom. Its space group is P-3m1 (164). Its formation energy is -0.3149 eV/atom.

a = 7.641 Å, b = 7.641 Å, c = 6.647 Å
α = 90.00°, β = 90.00°, γ = 120.00°
Fractional coordinates of all 15 atoms:
1 Pd 0.349 0.175 0.677
2 Pd 0.000 0.500 0.000
3 Pd 0.825 0.651 0.677
4 Ac 0.000 0.000 0.000
5 Pd 0.500 0.000 0.000
6 Pd 0.175 0.825 0.323
7 Pd 0.825 0.175 0.677
8 Ac 0.667 0.333 0.336
9 Cd 0.000 0.000 0.500
10 Ac 0.333 0.667 0.664
11 Pd 0.500 0.500 0.000
12 Cu 0.667 0.333 0.858
13 Cu 0.333 0.667 0.142
14 Pd 0.651 0.825 0.323
15 Pd 0.175 0.349 0.323

---

# 2
VASP calculation (GGA-PBE) on an optimized crystal structure of Ho2MnN.

As for the crystal system: trigonal. The calculated total energy is -7.02 eV per atom. Its space group is R-3m (166).

a = 3.345 Å, b = 3.345 Å, c = 8.754 Å
α = 78.98°, β = 78.98°, γ = 60.00°
Last column: magnetic moment on the atom in μB.
Fractional coordinates of all 4 atoms:
1 N 0.500 0.500 0.500  0.01
2 Mn 0.000 0.000 0.000  3.91
3 Ho 0.886 0.886 0.342  -0.27
4 Ho 0.114 0.114 0.658  -0.27

---

# 3
VASP calculation (GGA-PBE) on an optimized crystal structure of Li6CaPb6.

The energy relative to the lowest polymorph listed for this composition is 0 meV per atom. As for the crystal system: hexagonal. The calculated total energy is -3.04 eV per atom. Its space group is P6/mmm (191). Its formation energy is -0.2945 eV/atom.

a = 5.966 Å, b = 5.966 Å, c = 9.756 Å
α = 90.00°, β = 90.00°, γ = 120.02°
Fractional coordinates of all 13 atoms:
1 Pb 0.667 0.333 0.500
2 Pb 0.000 0.000 0.655
3 Pb 0.333 0.667 0.500
4 Li 0.500 0.500 0.754
5 Pb 0.333 0.667 0.000
6 Li 0.000 0.500 0.754
7 Li 0.500 0.500 0.246
8 Pb 0.667 0.333 0.000
9 Li 0.500 0.000 0.754
10 Li 0.000 0.500 0.246
11 Li 0.500 0.000 0.246
12 Ca 0.000 0.000 0.000
13 Pb 0.000 0.000 0.345